A geometry-optimized Na4FeO4 structure. Source: the Alexandria database, functional GGA+U.

It has space group P-1 (No. 2), with a = 5.822 Å, b = 5.827 Å, c = 8.369 Å, α = 87.91°, β = 71.91° and γ = 69.25°. The inequivalent atoms are Na at (0.049, 0.225, 0.432), Na at (0.210, 0.245, 0.018), Na at (0.236, 0.739, 0.170), Na at (0.417, 0.282, 0.627), Fe at (0.406, 0.780, 0.750), O at (0.174, 0.998, 0.660), O at (0.236, 0.610, 0.899), O at (0.313, 0.473, 0.382) and O at (0.436, 0.025, 0.199).

As for the mass density: 2.8 Mg/m³. The total energy comes out at -4.8029 eV per atom. The calculated volume comes out at 13.97 A^3/atom.